Entry 1:
{"formula": "Ce2DyTe", "functional": "PBE", "state": "optimized geometry", "volume_a3_per_cell": 114.32, "dos_ef_per_ev_cell": 12.3, "spacegroup": "Fm-3m", "e_form_raw_ev_per_atom": -0.227, "lattice_angstrom": [[0.000, 3.852, 3.852], [3.852, 0.000, 3.852], [3.852, 3.852, 0.000]], "species": ["Ce", "Ce", "Dy", "Te"], "fractional_positions": [[0.250, 0.250, 0.250], [0.750, 0.750, 0.750], [0.000, 0.000, 0.000], [0.500, 0.500, 0.500]]}

Entry 2:
{"formula": "CeDyTe3", "functional": "PBE", "state": "optimized geometry", "volume_a3_per_cell": 634.31, "dos_ef_per_ev_cell": 26.6, "spacegroup": "Pnma", "e_form_raw_ev_per_atom": -1.379, "lattice_angstrom": [[8.299, 0.000, 0.000], [0.000, 4.421, 0.000], [0.000, 0.000, 17.288]], "species": ["Ce", "Ce", "Ce", "Ce", "Dy", "Dy", "Dy", "Dy", "Te", "Te", "Te", "Te", "Te", "Te", "Te", "Te", "Te", "Te", "Te", "Te"], "fractional_positions": [[0.133, 0.250, 0.201], [0.367, 0.750, 0.701], [0.633, 0.250, 0.299], [0.867, 0.750, 0.799], [0.231, 0.750, 0.458], [0.269, 0.250, 0.958], [0.731, 0.750, 0.042], [0.769, 0.250, 0.542], [0.005, 0.250, 0.394], [0.120, 0.750, 0.064], [0.155, 0.250, 0.783], [0.345, 0.750, 0.283], [0.380, 0.250, 0.564], [0.495, 0.750, 0.894], [0.505, 0.250, 0.106], [0.620, 0.750, 0.436], [0.655, 0.250, 0.717], [0.845, 0.750, 0.217], [0.880, 0.250, 0.936], [0.995, 0.750, 0.606]]}